# 1
Crystalline TmGa2Pt8 at its relaxed geometry, computed with PBE.

Calculated values
Density = 16.69 g cm⁻³
Spin magnetization = 0.000 Bohr magnetons per cell
Energy of formation = -5.6 eV per formula unit

Structure (CIF):
```
data_TmGa2Pt8
_cell_length_a 7.496
_cell_length_b 11.780
_cell_length_c 4.525
_cell_angle_alpha 90.00
_cell_angle_beta 111.44
_cell_angle_gamma 90.00
_space_group_name_H-M_alt 'C 1 2/m 1'
_space_group_IT_number 12
loop_
_space_group_symop_operation_xyz
'x,y,z'
'-x,-y,-z'
'-x,y,-z'
'x,-y,z'
'x+1/2,y+1/2,z'
'-x+1/2,-y+1/2,-z'
'-x+1/2,y+1/2,-z'
'x+1/2,-y+1/2,z'
loop_
_atom_site_label
_atom_site_type_symbol
_atom_site_fract_x
_atom_site_fract_y
_atom_site_fract_z
Tm1 Tm 0.000 0.000 0.000
Ga1 Ga 0.000 0.316 0.500
Pt1 Pt 0.000 0.234 0.000
Pt2 Pt 0.101 0.500 0.814
Pt3 Pt 0.200 0.120 0.617
```



# 2
Crystalline SbIrOs2 at its relaxed geometry, computed with PBE.

Calculated values
Formation energy from raw total energies = 433 meV/atom
Density = 18.06 g cm⁻³
Spin magnetization = 0.000 Bohr magnetons per cell

Structure (CIF):
```
data_SbIrOs2
_cell_length_a 9.168
_cell_length_b 2.918
_cell_length_c 4.829
_cell_angle_alpha 90.00
_cell_angle_beta 98.66
_cell_angle_gamma 90.00
_space_group_name_H-M_alt 'C 1 m 1'
_space_group_IT_number 8
loop_
_space_group_symop_operation_xyz
'x,y,z'
'x,-y,z'
'x+1/2,y+1/2,z'
'x+1/2,-y+1/2,z'
loop_
_atom_site_label
_atom_site_type_symbol
_atom_site_fract_x
_atom_site_fract_y
_atom_site_fract_z
Sb1 Sb 0.000 0.000 0.000
Ir1 Ir 0.243 0.000 0.748
Os1 Os 0.259 0.500 0.288
Os2 Os 0.498 0.000 0.494
```



# 3
Crystalline Ba2Cd4AgPd3 at its relaxed geometry, computed with PBE.

Calculated values
Density = 7.41 g cm⁻³
Spin magnetization = 0.000 Bohr magnetons per cell
Energy of formation = -4.0 eV per formula unit

Structure (CIF):
```
data_Ba2Cd4AgPd3
_cell_length_a 4.877
_cell_length_b 4.877
_cell_length_c 10.846
_cell_angle_alpha 90.00
_cell_angle_beta 90.00
_cell_angle_gamma 90.00
_space_group_name_H-M_alt 'P -4 m 2'
_space_group_IT_number 115
loop_
_space_group_symop_operation_xyz
'x,y,z'
'y,-x,-z'
'-x,-y,z'
'-y,x,-z'
'-x,y,z'
'-y,-x,-z'
'x,-y,z'
'y,x,-z'
loop_
_atom_site_label
_atom_site_type_symbol
_atom_site_fract_x
_atom_site_fract_y
_atom_site_fract_z
Ba1 Ba 0.000 0.500 0.244
Cd1 Cd 0.000 0.000 0.500
Cd2 Cd 0.000 0.500 0.875
Cd3 Cd 0.500 0.500 0.500
Ag1 Ag 0.500 0.500 0.000
Pd1 Pd 0.000 0.000 0.000
Pd2 Pd 0.000 0.500 0.624
```



# 4
Crystalline SrCaPtAu at its relaxed geometry, computed with PBE.

Calculated values
Density = 8.17 g cm⁻³
Spin magnetization = 0.000 Bohr magnetons per cell
Energy of formation = -3.3 eV per formula unit

Structure (CIF):
```
data_SrCaPtAu
_cell_length_a 4.556
_cell_length_b 4.141
_cell_length_c 11.196
_cell_angle_alpha 90.00
_cell_angle_beta 90.00
_cell_angle_gamma 90.00
_space_group_name_H-M_alt 'A m m 2'
_space_group_IT_number 38
loop_
_space_group_symop_operation_xyz
'x,y,z'
'-x,-y,z'
'-x,y,z'
'x,-y,z'
'x,y+1/2,z+1/2'
'-x,-y+1/2,z+1/2'
'-x,y+1/2,z+1/2'
'x,-y+1/2,z+1/2'
loop_
_atom_site_label
_atom_site_type_symbol
_atom_site_fract_x
_atom_site_fract_y
_atom_site_fract_z
Sr1 Sr 0.000 0.000 0.000
Ca1 Ca 0.500 0.000 0.720
Pt1 Pt 0.000 0.000 0.277
Au1 Au 0.500 0.000 0.432
```



# 5
Crystalline K3Tm3SbSe8 at its relaxed geometry, computed with PBE.

Calculated values
Formation energy from raw total energies = -1432 meV/atom
Density = 4.99 g cm⁻³
Spin magnetization = 0.000 Bohr magnetons per cell

Structure (CIF):
```
data_K3Tm3SbSe8
_cell_length_a 8.2305
_cell_length_b 8.2305
_cell_length_c 23.4545
_cell_angle_alpha 90.00
_cell_angle_beta 90.00
_cell_angle_gamma 120.00
_space_group_name_H-M_alt 'R -3 m'
_space_group_IT_number 166
_space_group_name_Hall '-R 3 2"'
loop_
_atom_site_label
_atom_site_type_symbol
_atom_site_fract_x
_atom_site_fract_y
_atom_site_fract_z
K1 K 0.0000 0.5000 0.0000
Tm1 Tm 0.0000 0.5000 0.5000
Sb1 Sb 0.0000 0.0000 0.5000
Se1 Se 0.0000 0.0000 0.2339
Se2 Se 0.0031 0.5016 0.2330
```



# 6
Crystalline Ge3Pt3Pb at its relaxed geometry, computed with PBE.

Calculated values
Density = 10.23 g cm⁻³
Spin magnetization = 0.000 Bohr magnetons per cell
Energy of formation = -1.0 eV per formula unit

Structure (CIF):
```
data_Ge3Pt3Pb
_cell_length_a 6.897
_cell_length_b 6.897
_cell_length_c 6.897
_cell_angle_alpha 90.00
_cell_angle_beta 90.00
_cell_angle_gamma 90.00
_space_group_name_H-M_alt 'P m -3 n'
_space_group_IT_number 223
_space_group_name_Hall '-P 4n 2 3'
loop_
_atom_site_label
_atom_site_type_symbol
_atom_site_fract_x
_atom_site_fract_y
_atom_site_fract_z
Ge1 Ge 0.000 0.250 0.500
Pt1 Pt 0.000 0.500 0.250
Pb1 Pb 0.000 0.000 0.000
```



Which value of spin magnetization does entry 6 give?
0.000 Bohr magnetons per cell



Which value of spin magnetization does entry 3 give?
0.000 Bohr magnetons per cell